Entry from the Alexandria database: a crystal of NaP2PtS relaxed with PBEsol (meta-GGA SCAN).

a b c (Å): 4.5588 4.6289 4.6289
angles (deg): 90.00 90.00 90.00
Fractional positions:
S1 0.5000 0.0000 0.0000
Na1 0.0000 0.0000 0.0000
P1 0.0000 0.0000 0.5000
P2 0.0000 0.5000 0.0000
Pt1 0.5000 0.5000 0.5000

space group = No. 123
Fermi-level density of states = 3.61 states/eV per cell
size of the total moment = 0.00 Bohr magnetons per cell

***

Entry from the Alexandria database: a crystal of Y3AgMo relaxed with PBEsol (meta-GGA SCAN).

a b c (Å): 5.3388 5.3388 5.3388
angles (deg): 90.00 90.00 90.00
Site moments in Bohr magnetons follow the coordinates.
Fractional positions:
Mo1 0.5000 0.5000 0.5000  3.50
Y1 0.0000 0.5000 0.0000  -0.26
Y2 0.5000 0.0000 0.0000  -0.26
Y3 0.0000 0.0000 0.5000  -0.26
Ag1 0.0000 0.0000 0.0000  -0.09

space group = No. 221
Fermi-level density of states = 5.73 states/eV per cell
size of the total moment = 2.70 Bohr magnetons per cell
calculated formation energy = 0.7886 eV per atom

***

Entry from the Alexandria database: a crystal of Li2Ca relaxed with PBEsol (meta-GGA SCAN).

a b c (Å): 3.7913 3.7913 6.2360
angles (deg): 107.70 107.70 90.00
Fractional positions:
Li1 0.1911 0.1911 0.3821
Li2 0.8089 0.8089 0.6179
Ca1 0.5000 0.5000 0.0000

space group = No. 139
Fermi-level density of states = 1.91 states/eV per cell
size of the total moment = 0.03 Bohr magnetons per cell
calculated formation energy = 0.0160 eV per atom

***

Entry from the Alexandria database: a crystal of Ba2LiSi relaxed with PBEsol (meta-GGA SCAN).

a b c (Å): 4.7551 5.1501 6.0203
angles (deg): 115.32 90.00 90.00
Site moments in Bohr magnetons follow the coordinates.
Fractional positions:
Si1 0.5000 0.7112 0.4225  0.01
Li1 0.0000 0.7811 0.5622  -0.02
Ba1 0.5000 0.4061 0.8122  -0.12
Ba2 0.0000 0.1027 0.2053  -0.10

space group = No. 38
Fermi-level density of states = 1.23 states/eV per cell
size of the total moment = 0.97 Bohr magnetons per cell

***

Entry from the Alexandria database: a crystal of MnAl2Sb relaxed with PBEsol (meta-GGA SCAN).

a b c (Å): 4.0985 4.0985 5.0585
angles (deg): 113.90 113.90 90.00
Site moments in Bohr magnetons follow the coordinates.
Fractional positions:
Al1 0.7500 0.2500 0.5000  -0.01
Al2 0.0000 0.0000 0.0000  -0.01
Sb1 0.2500 0.7500 0.5000  -0.01
Mn1 0.5000 0.5000 0.0000  3.77

space group = No. 119
Fermi-level density of states = 1.70 states/eV per cell
size of the total moment = 3.83 Bohr magnetons per cell

***

Entry from the Alexandria database: a crystal of CrFeOs2 relaxed with PBEsol (meta-GGA SCAN).

a b c (Å): 2.6286 3.6428 5.1970
angles (deg): 90.00 90.00 90.00
Fractional positions:
Os1 0.5000 0.5000 0.2602
Os2 0.0000 0.0000 0.9805
Fe1 0.5000 0.5000 0.7421
Cr1 0.0000 0.0000 0.5172

space group = No. 25
Fermi-level density of states = 3.67 states/eV per cell
size of the total moment = 0.00 Bohr magnetons per cell
calculated formation energy = 0.2158 eV per atom

***

Entry from the Alexandria database: a crystal of Zn2AsPb relaxed with PBEsol (meta-GGA SCAN).

a b c (Å): 3.4026 3.4026 6.9777
angles (deg): 90.00 90.00 90.00
Fractional positions:
Zn1 0.5000 0.5000 0.2518
Zn2 0.0000 0.0000 0.0491
As1 0.0000 0.0000 0.4142
Pb1 0.5000 0.5000 0.7849

space group = No. 99
Fermi-level density of states = 1.47 states/eV per cell
size of the total moment = 0.00 Bohr magnetons per cell
calculated formation energy = 0.1652 eV per atom

***

Entry from the Alexandria database: a crystal of Zr2MnSeS relaxed with PBEsol (meta-GGA SCAN).

a b c (Å): 3.9595 4.8555 4.8555
angles (deg): 90.00 90.00 90.00
Site moments in Bohr magnetons follow the coordinates.
Fractional positions:
S1 0.0000 0.0000 0.0000  -0.01
Zr1 0.0000 0.0000 0.5000  -0.34
Zr2 0.0000 0.5000 0.0000  -0.34
Mn1 0.5000 0.0000 0.0000  2.70
Se1 0.5000 0.5000 0.5000  0.05

space group = No. 123
Fermi-level density of states = 3.28 states/eV per cell
size of the total moment = 1.61 Bohr magnetons per cell

***

Entry from the Alexandria database: a crystal of P2HF relaxed with PBEsol (meta-GGA SCAN).

a b c (Å): 3.8981 3.8981 3.8981
angles (deg): 60.00 60.00 60.00
Fractional positions:
P1 0.2500 0.2500 0.2500
P2 0.7500 0.7500 0.7500
F1 0.5000 0.5000 0.5000
H1 0.0000 0.0000 0.0000

space group = No. 225
Fermi-level density of states = 0.74 states/eV per cell
size of the total moment = 0.00 Bohr magnetons per cell

***

Entry from the Alexandria database: a crystal of Mg2Zn2Bi relaxed with PBEsol (meta-GGA SCAN).

a b c (Å): 3.4276 7.7086 7.7086
angles (deg): 90.00 90.00 90.00
Fractional positions:
Zn1 0.0000 0.6165 0.1165
Zn2 0.0000 0.8835 0.6165
Zn3 0.0000 0.1165 0.3835
Zn4 0.0000 0.3835 0.8835
Mg1 0.5000 0.6750 0.8250
Mg2 0.5000 0.1750 0.6750
Mg3 0.5000 0.3250 0.1750
Mg4 0.5000 0.8250 0.3250
Bi1 0.0000 0.5000 0.5000
Bi2 0.0000 0.0000 0.0000

space group = No. 127
Fermi-level density of states = 3.10 states/eV per cell
size of the total moment = 0.00 Bohr magnetons per cell
calculated formation energy = -0.0528 eV per atom

***

Entry from the Alexandria database: a crystal of SrOs2Ru relaxed with PBEsol (meta-GGA SCAN).

a b c (Å): 2.8018 4.9157 5.7660
angles (deg): 115.23 104.06 90.00
Fractional positions:
Ru1 0.5339 0.5339 0.0677
Os1 0.2505 0.7505 0.5009
Os2 0.9650 0.9650 0.9300
Sr1 0.7507 0.2507 0.5013

space group = No. 44
Fermi-level density of states = 3.52 states/eV per cell
size of the total moment = 0.00 Bohr magnetons per cell
calculated formation energy = 0.8578 eV per atom

***

Entry from the Alexandria database: a crystal of LaSc2 relaxed with PBEsol (meta-GGA SCAN).

a b c (Å): 3.4687 6.3880 7.8405
angles (deg): 103.07 90.00 105.75
Site moments in Bohr magnetons follow the coordinates.
Fractional positions:
Sc1 0.6518 0.3035 0.5295  0.06
Sc2 0.7026 0.4052 0.1408  -0.02
Sc3 0.3482 0.6965 0.4705  0.06
Sc4 0.2974 0.5948 0.8592  -0.02
La1 0.0209 0.0419 0.7941  0.02
La2 0.9791 0.9581 0.2059  0.02

space group = No. 12
Fermi-level density of states = 8.26 states/eV per cell
size of the total moment = 0.19 Bohr magnetons per cell
calculated formation energy = 0.0681 eV per atom

***

Entry from the Alexandria database: a crystal of CaYIn2C relaxed with PBEsol (meta-GGA SCAN).

a b c (Å): 4.7333 4.8535 4.8535
angles (deg): 90.00 90.00 90.00
Fractional positions:
C1 0.0000 0.0000 0.0000
In1 0.0000 0.5000 0.0000
In2 0.0000 0.0000 0.5000
Ca1 0.5000 0.0000 0.0000
Y1 0.5000 0.5000 0.5000

space group = No. 123
Fermi-level density of states = 2.23 states/eV per cell
size of the total moment = 0.00 Bohr magnetons per cell
calculated formation energy = 0.3311 eV per atom

***

Entry from the Alexandria database: a crystal of CaLa3 relaxed with PBEsol (meta-GGA SCAN).

a b c (Å): 3.6577 5.9582 6.5381
angles (deg): 90.00 90.00 90.00
Fractional positions:
La1 0.5000 0.5000 0.8116
La2 0.5000 0.0000 0.5051
La3 0.0000 0.5000 0.3399
Ca1 0.0000 0.0000 0.0102

space group = No. 25
Fermi-level density of states = 5.69 states/eV per cell
size of the total moment = 0.09 Bohr magnetons per cell
calculated formation energy = 0.0571 eV per atom

***

Entry from the Alexandria database: a crystal of TaAsRu relaxed with PBEsol (meta-GGA SCAN).

a b c (Å): 2.9075 4.2278 4.2278
angles (deg): 120.00 90.00 90.00
Fractional positions:
As1 0.0000 0.0000 0.0000
Ta1 0.5000 0.6667 0.3333
Ru1 0.0000 0.3333 0.6667

space group = No. 187
Fermi-level density of states = 0.63 states/eV per cell
size of the total moment = 0.00 Bohr magnetons per cell
calculated formation energy = -0.4578 eV per atom

***

Entry from the Alexandria database: a crystal of Ta2IrW relaxed with PBEsol (meta-GGA SCAN).

a b c (Å): 4.5011 4.5011 4.5011
angles (deg): 60.00 60.00 60.00
Fractional positions:
Ta1 0.7500 0.7500 0.7500
Ta2 0.2500 0.2500 0.2500
W1 0.0000 0.0000 0.0000
Ir1 0.5000 0.5000 0.5000

space group = No. 225
Fermi-level density of states = 2.39 states/eV per cell
size of the total moment = 0.00 Bohr magnetons per cell
calculated formation energy = -0.4233 eV per atom

***

Entry from the Alexandria database: a crystal of FeCo2 relaxed with PBEsol (meta-GGA SCAN).

a b c (Å): 2.4129 2.4129 11.4205
angles (deg): 96.06 96.06 90.00
Site moments in Bohr magnetons follow the coordinates.
Fractional positions:
Co1 0.4195 0.4195 0.8389  1.83
Co2 0.6695 0.1695 0.3389  1.83
Co3 0.8305 0.3305 0.6611  1.83
Co4 0.5805 0.5805 0.1611  1.83
Fe1 0.2500 0.7500 0.5000  2.72
Fe2 0.0000 0.0000 0.0000  2.72

space group = No. 141
Fermi-level density of states = 5.37 states/eV per cell
size of the total moment = 12.60 Bohr magnetons per cell
calculated formation energy = 0.2083 eV per atom

***

Entry from the Alexandria database: a crystal of ScAlSe2 relaxed with PBEsol (meta-GGA SCAN).

a b c (Å): 3.3820 4.6459 4.6459
angles (deg): 90.01 89.94 89.94
Fractional positions:
Al1 0.5000 0.0000 0.0000
Se1 0.0000 0.0000 0.5000
Se2 0.0000 0.5000 0.0000
Sc1 0.5000 0.5000 0.5000

space group = No. 123
Fermi-level density of states = 1.56 states/eV per cell
size of the total moment = 0.00 Bohr magnetons per cell

***

Entry from the Alexandria database: a crystal of HgBSBr2 relaxed with PBEsol (meta-GGA SCAN).

a b c (Å): 5.8650 4.2589 4.2589
angles (deg): 90.00 90.00 90.00
Site moments in Bohr magnetons follow the coordinates.
Fractional positions:
Hg1 0.5000 0.0000 0.0000  0.00
Br1 0.0000 0.5000 0.0000  0.02
Br2 0.0000 0.0000 0.5000  0.02
S1 0.5000 0.5000 0.5000  0.18
B1 0.0000 0.0000 0.0000  0.02

space group = No. 123
Fermi-level density of states = 3.90 states/eV per cell
size of the total moment = 0.36 Bohr magnetons per cell

***

Entry from the Alexandria database: a crystal of YTl2 relaxed with PBEsol (meta-GGA SCAN).

a b c (Å): 4.2675 4.7717 8.0369
angles (deg): 107.27 90.00 90.00
Fractional positions:
Tl1 0.2500 0.2626 0.5252
Tl2 0.7500 0.7374 0.4748
Tl3 0.2500 0.5735 0.1469
Tl4 0.7500 0.4265 0.8531
Y1 0.7500 0.0924 0.1847
Y2 0.2500 0.9076 0.8153

space group = No. 63
Fermi-level density of states = 2.41 states/eV per cell
size of the total moment = 0.00 Bohr magnetons per cell
calculated formation energy = -0.3868 eV per atom

***

Entry from the Alexandria database: a crystal of Cd2InGa2 relaxed with PBEsol (meta-GGA SCAN).

a b c (Å): 2.9486 8.5094 8.5094
angles (deg): 90.00 90.00 90.00
Fractional positions:
Ga1 0.5000 0.6424 0.8576
Ga2 0.5000 0.3576 0.1424
Ga3 0.5000 0.8576 0.3576
Ga4 0.5000 0.1424 0.6424
Cd1 0.0000 0.1539 0.3461
Cd2 0.0000 0.6539 0.1539
Cd3 0.0000 0.3461 0.8461
Cd4 0.0000 0.8461 0.6539
In1 0.0000 0.0000 0.0000
In2 0.0000 0.5000 0.5000

space group = No. 127
Fermi-level density of states = 3.64 states/eV per cell
size of the total moment = 0.00 Bohr magnetons per cell
calculated formation energy = 0.1198 eV per atom

***

Entry from the Alexandria database: a crystal of TaSnH3 relaxed with PBEsol (meta-GGA SCAN).

a b c (Å): 3.7383 3.7383 3.7383
angles (deg): 90.00 90.00 90.00
Fractional positions:
H1 0.0000 0.0000 0.5000
H2 0.0000 0.5000 0.0000
H3 0.5000 0.0000 0.0000
Sn1 0.0000 0.0000 0.0000
Ta1 0.5000 0.5000 0.5000

space group = No. 221
Fermi-level density of states = 3.54 states/eV per cell
size of the total moment = 0.00 Bohr magnetons per cell

***

Entry from the Alexandria database: a crystal of Li3Ni5 relaxed with PBEsol (meta-GGA SCAN).

a b c (Å): 4.0474 4.8017 4.8017
angles (deg): 116.01 90.00 90.00
Fractional positions:
Ni1 0.5000 0.7596 0.2404
Ni2 0.0000 0.0000 0.0000
Ni3 0.5000 0.2404 0.7596
Ni4 0.0000 0.5000 0.0000
Ni5 0.0000 0.0000 0.5000
Li1 0.0000 0.5000 0.5000
Li2 0.5000 0.2525 0.2525
Li3 0.5000 0.7475 0.7475

space group = No. 65
Fermi-level density of states = 8.27 states/eV per cell
size of the total moment = 0.02 Bohr magnetons per cell
calculated formation energy = 0.0525 eV per atom

***

Entry from the Alexandria database: a crystal of SbSeSN2 relaxed with PBEsol (meta-GGA SCAN).

a b c (Å): 3.8372 3.8372 4.7522
angles (deg): 90.00 90.00 90.00
Fractional positions:
N1 0.0000 0.5000 0.0000
N2 0.5000 0.0000 0.0000
Sb1 0.5000 0.5000 0.5000
Se1 0.0000 0.0000 0.5000
S1 0.0000 0.0000 0.0000

space group = No. 123
Fermi-level density of states = 2.69 states/eV per cell
size of the total moment = 0.00 Bohr magnetons per cell

***

Entry from the Alexandria database: a crystal of CaSeS2 relaxed with PBEsol (meta-GGA SCAN).

a b c (Å): 3.9727 3.9727 8.1502
angles (deg): 75.89 75.89 60.00
Fractional positions:
S1 0.8852 0.8852 0.3444
S2 0.1148 0.1148 0.6556
Ca1 0.0000 0.0000 0.0000
Se1 0.5000 0.5000 0.5000

space group = No. 166
Fermi-level density of states = 2.56 states/eV per cell
size of the total moment = 0.00 Bohr magnetons per cell

***

Entry from the Alexandria database: a crystal of NaSr3GdP3O12F relaxed with PBEsol (meta-GGA SCAN).

a b c (Å): 7.1182 9.5233 9.5233
angles (deg): 120.00 90.00 90.00
Site moments in Bohr magnetons follow the coordinates.
Fractional positions:
F1 0.2897 0.0000 0.0000  0.00
F2 0.7103 0.0000 0.0000  0.00
O1 0.5594 0.6199 0.7277  -0.01
O2 0.8969 0.0454 0.3015  -0.01
O3 0.1031 0.7439 0.0454  -0.01
O4 0.7797 0.1315 0.5902  -0.01
O5 0.4406 0.7277 0.1078  -0.01
O6 0.7158 0.8493 0.3512  -0.02
O7 0.7797 0.4587 0.8685  -0.01
O8 0.5594 0.1078 0.3801  -0.01
O9 0.4406 0.3801 0.2723  -0.01
O10 0.8969 0.6985 0.7439  -0.01
O11 0.7797 0.4098 0.5413  -0.01
O12 0.2842 0.3512 0.5019  -0.02
O13 0.2203 0.5902 0.4587  -0.01
O14 0.8969 0.2561 0.9546  -0.01
O15 0.5594 0.2723 0.8922  -0.01
O16 0.1031 0.3015 0.2561  -0.01
O17 0.7158 0.6488 0.4981  -0.02
O18 0.2203 0.5413 0.1315  -0.01
O19 0.2203 0.8685 0.4098  -0.01
O20 0.4406 0.8922 0.6199  -0.01
O21 0.7158 0.5019 0.1507  -0.02
O22 0.2842 0.4981 0.8493  -0.02
O23 0.2842 0.1507 0.6488  -0.02
O24 0.1031 0.9546 0.6985  -0.01
Sr1 0.2402 0.2373 0.9787  0.00
Sr2 0.7598 0.7627 0.0213  0.00
Sr3 0.2402 0.0213 0.2586  0.00
Sr4 0.7598 0.2586 0.2373  0.00
Sr5 0.2402 0.7414 0.7627  0.00
Sr6 0.7598 0.9787 0.7414  0.00
P1 0.2594 0.6252 0.0308  0.00
P2 0.2594 0.9692 0.5944  0.00
P3 0.7406 0.0308 0.4056  0.00
P4 0.7406 0.3748 0.9692  0.00
P5 0.7406 0.5944 0.6252  0.00
P6 0.2594 0.4056 0.3748  0.00
Gd1 0.5249 0.3333 0.6667  6.98
Gd2 0.4751 0.6667 0.3333  6.98
Na1 0.0247 0.3333 0.6667  0.00
Na2 0.9753 0.6667 0.3333  0.00

space group = No. 147
Fermi-level density of states = 0.00 states/eV per cell
size of the total moment = 13.79 Bohr magnetons per cell

***

| no. | VASP energy (eV/cell) |
| --- | --- |
| 1 | -95.99 |
| 2 | -145.84 |
| 3 | -14.39 |
| 4 | -92.41 |
| 5 | -70.86 |
| 6 | -179.41 |
| 7 | -122.34 |
| 8 | -111.92 |
| 9 | -25.03 |
| 10 | -231.64 |
| 11 | -197.43 |
| 12 | -142.75 |
| 13 | -112.72 |
| 14 | -138.75 |
| 15 | -122.97 |
| 16 | -275.65 |
| 17 | -104.23 |
| 18 | -65.30 |
| 19 | -119.79 |
| 20 | -347.44 |
| 21 | -252.62 |
| 22 | -105.89 |
| 23 | -87.62 |
| 24 | -77.58 |
| 25 | -48.93 |
| 26 | -614.50 |